No. 1
This record from Alexandria via LeMat-Bulk describes an optimized crystal structure of Sr2LiS. The functional is GGA-PBE.

Cell lengths 4.0870, 4.0870, 10.8729 Å; angles 79.17, 79.17, 60.00 degrees
Sites, in units of the cell vectors:
Sr 0.1100 0.1100 0.6699
Sr 0.8900 0.8900 0.3301
S 0.5000 0.5000 0.5000
Li 0.0000 0.0000 0.0000

Results
Its formation energy (no corrections) is -3.20 eV/f.u. The value obtained for the raw total energy is -3.150 eV per atom. The crystal system is trigonal.

No. 2
This record from Alexandria via LeMat-Bulk describes an optimized crystal structure of Sr2LiS. The functional is GGA-PBE.

Cell lengths 8.4608, 8.4608, 7.3904 Å; angles 55.08, 55.08, 90.00 degrees
Sites, in units of the cell vectors:
Sr 0.6859 0.1250 0.2500
Sr 0.0641 0.6250 0.2500
Sr 0.3750 0.3141 0.7500
Sr 0.8750 0.9359 0.7500
S 0.0000 0.0000 0.0000
S 0.7500 0.2500 0.5000
Li 0.5000 0.5000 0.0000
Li 0.2500 0.7500 0.5000

Results
Its formation energy (no corrections) is -2.98 eV/f.u. The value obtained for the raw total energy is -3.097 eV per atom. The crystal system is tetragonal.

No. 3
This record from Alexandria via LeMat-Bulk describes an optimized crystal structure of SrLiTaS4. The functional is GGA-PBE.

Cell lengths 7.1135, 7.0032, 8.0477 Å; angles 90.00, 109.73, 90.00 degrees
Sites, in units of the cell vectors:
Sr 0.7599 0.7500 0.9653
Sr 0.2401 0.2500 0.0347
Li 0.7342 0.7500 0.5080
Li 0.2658 0.2500 0.4920
Ta 0.2644 0.7500 0.3255
Ta 0.7356 0.2500 0.6745
S 0.9492 0.5060 0.7485
S 0.0508 0.0060 0.2515
S 0.0508 0.4940 0.2515
S 0.9492 0.9940 0.7485
S 0.4825 0.7500 0.1722
S 0.5175 0.2500 0.8278
S 0.4346 0.7500 0.6172
S 0.5654 0.2500 0.3828

Results
Its formation energy (no corrections) is -9.36 eV/f.u. The value obtained for the raw total energy is -5.903 eV per atom. The crystal system is monoclinic.

No. 4
This record from Alexandria via LeMat-Bulk describes an optimized crystal structure of SrLiTb2S4. The functional is GGA-PBE.

Cell lengths 3.9717, 6.8930, 13.7051 Å; angles 90.00, 90.00, 106.74 degrees
Sites, in units of the cell vectors:
Sr 0.1163 0.2326 0.7500
Sr 0.8837 0.7674 0.2500
Li 0.8464 0.6927 0.7500
Li 0.1536 0.3073 0.2500
Tb 0.3716 0.7432 0.5564
Tb 0.6284 0.2568 0.0564
Tb 0.6284 0.2568 0.4436
Tb 0.3716 0.7432 0.9436
S 0.2696 0.5393 0.1181
S 0.7304 0.4607 0.6181
S 0.7304 0.4607 0.8819
S 0.2696 0.5393 0.3819
S 0.0000 0.0000 0.5000
S 0.0000 0.0000 0.0000
S 0.4442 0.8884 0.7500
S 0.5558 0.1116 0.2500

Results
Its formation energy (no corrections) is -15.57 eV/f.u. The value obtained for the raw total energy is -5.617 eV per atom. The crystal system is orthorhombic.

No. 5
This record from Alexandria via LeMat-Bulk describes an optimized crystal structure of SrLiTbS3. The functional is GGA-PBE.

Cell lengths 4.0091, 8.3694, 8.6439 Å; angles 103.06, 90.00, 90.00 degrees
Sites, in units of the cell vectors:
Sr 0.2500 0.1861 0.2335
Sr 0.7500 0.8139 0.7665
Li 0.2500 0.0855 0.5872
Li 0.7500 0.9145 0.4128
Tb 0.2500 0.6680 0.1677
Tb 0.7500 0.3320 0.8323
S 0.7500 0.8864 0.1332
S 0.2500 0.1136 0.8668
S 0.2500 0.7926 0.4888
S 0.7500 0.2074 0.5112
S 0.7500 0.4376 0.1642
S 0.2500 0.5624 0.8358

Results
Its formation energy (no corrections) is -11.50 eV/f.u. The value obtained for the raw total energy is -5.352 eV per atom. The crystal system is monoclinic.

No. 6
This record from Alexandria via LeMat-Bulk describes an optimized crystal structure of Sr3LiTb3S8. The functional is GGA-PBE.

Cell lengths 8.0494, 8.0496, 8.2400 Å; angles 119.23, 90.00, 120.00 degrees
Sites, in units of the cell vectors:
Sr 0.0000 0.0000 0.0000
Sr 0.0000 0.5000 0.0000
Sr 0.5000 0.5000 0.0000
Li 0.0000 0.0000 0.5000
Tb 0.5000 0.0000 0.5000
Tb 0.5000 0.5000 0.5000
Tb 0.0000 0.5000 0.5000
S 0.2567 0.5133 0.2700
S 0.7433 0.4867 0.7300
S 0.7588 0.5177 0.2789
S 0.2412 0.4823 0.7211
S 0.7587 0.0201 0.2788
S 0.2413 0.9799 0.7212
S 0.2615 0.0201 0.2788
S 0.7385 0.9799 0.7212

Results
Its formation energy (no corrections) is -29.49 eV/f.u. The value obtained for the raw total energy is -5.557 eV per atom. The crystal system is trigonal.

No. 7
This record from Alexandria via LeMat-Bulk describes an optimized crystal structure of Sr4LiTb3S8. The functional is GGA-PBE.

Cell lengths 8.1361, 8.2057, 8.1344 Å; angles 119.72, 120.01, 90.00 degrees
Sites, in units of the cell vectors:
Sr 0.5000 0.0000 0.0000
Sr 0.5000 0.0000 0.5000
Sr 0.0000 0.0000 0.0000
Sr 0.0000 0.0000 0.5000
Li 0.0000 0.5000 0.0000
Tb 0.5000 0.5000 0.0000
Tb 0.5000 0.5000 0.5000
Tb 0.0000 0.5000 0.5000
S 0.2438 0.7280 0.9842
S 0.2436 0.7279 0.4873
S 0.2567 0.2700 0.5133
S 0.7404 0.7280 0.9842
S 0.2596 0.2720 0.0158
S 0.7433 0.7300 0.4867
S 0.7564 0.2721 0.5127
S 0.7562 0.2720 0.0158

Results
Its formation energy (no corrections) is -32.14 eV/f.u. The value obtained for the raw total energy is -5.480 eV per atom. The crystal system is trigonal.

No. 8
This record from Alexandria via LeMat-Bulk describes an optimized crystal structure of Sr2LiTbS4. The functional is GGA-PBE.

Cell lengths 4.1181, 7.0521, 7.0708 Å; angles 108.79, 90.00, 90.00 degrees
Sites, in units of the cell vectors:
Sr 0.5000 0.0000 0.5000
Sr 0.0000 0.5000 0.5000
Li 0.5000 0.5000 0.0000
Tb 0.0000 0.0000 0.0000
S 0.5000 0.2403 0.2261
S 0.5000 0.7597 0.7739
S 0.0000 0.2483 0.7688
S 0.0000 0.7517 0.2312

Results
Its formation energy (no corrections) is -15.53 eV/f.u. The value obtained for the raw total energy is -5.243 eV per atom. The crystal system is monoclinic.